{"formula": "ScReIr2", "functional": "PBE", "state": "relaxed", "cell": [[1.434, 0.828, 8.864], [-1.434, 0.828, 8.864], [0.000, -1.656, 8.864]], "species": ["Sc", "Re", "Ir", "Ir"], "frac_coords": [[0.000, 0.000, 0.000], [0.500, 0.500, 0.500], [0.248, 0.248, 0.248], [0.752, 0.752, 0.752]], "ef_ev_per_atom": -0.13, "density_g_cm3": 16.188, "relative_energy_mev_per_atom": 328, "energy_ev_per_atom": -9.2530}